# FeTe2I2 PBE-GGA optimized geometry
data_FeTe2I2
_space_group_name_H-M_alt 'I 4/m m m'
_space_group_IT_number 139
_space_group_name_Hall '-I 4 2'
_cell_length_a 4.0414
_cell_length_b 4.0414
_cell_length_c 23.8156
_cell_angle_alpha 90.00
_cell_angle_beta 90.00
_cell_angle_gamma 90.00
loop_
_atom_site_label
_atom_site_type_symbol
_atom_site_fract_x
_atom_site_fract_y
_atom_site_fract_z
_atom_site_occupancy
Fe1 Fe 0.0000 0.0000 0.0000 1
Te1 Te 0.0000 0.5000 0.2500 1
I1 I 0.0000 0.0000 0.4263 1
# Energy relative to the lowest polymorph listed for this composition ... 7.8 kJ/mol of atoms
# Uncorrected formation energy ... 0.463 eV per atom

***

# NaLa2Ga3Au4 PBE-GGA optimized geometry
data_NaLa2Ga3Au4
_space_group_name_H-M_alt 'P -4 m 2'
_space_group_IT_number 115
_cell_length_a 4.5267
_cell_length_b 4.5267
_cell_length_c 10.8833
_cell_angle_alpha 90.00
_cell_angle_beta 90.00
_cell_angle_gamma 90.00
loop_
_space_group_symop_operation_xyz
'x,y,z'
'y,-x,-z'
'-x,-y,z'
'-y,x,-z'
'-x,y,z'
'-y,-x,-z'
'x,-y,z'
'y,x,-z'
loop_
_atom_site_label
_atom_site_type_symbol
_atom_site_fract_x
_atom_site_fract_y
_atom_site_fract_z
_atom_site_occupancy
Na1 Na 0.0000 0.0000 0.0000 1
La1 La 0.0000 0.5000 0.7297 1
Ga1 Ga 0.0000 0.5000 0.3745 1
Ga2 Ga 0.5000 0.5000 0.0000 1
Au1 Au 0.0000 0.0000 0.5000 1
Au2 Au 0.0000 0.5000 0.1420 1
Au3 Au 0.5000 0.5000 0.5000 1
# Calculated formation energy ... -0.5922 eV per atom

***

# Ac8NiGe3Br4 PBE-GGA optimized geometry
data_Ac8NiGe3Br4
_space_group_name_H-M_alt 'C 1 2/m 1'
_space_group_IT_number 12
_cell_length_a 15.8600
_cell_length_b 9.1539
_cell_length_c 9.2533
_cell_angle_alpha 90.00
_cell_angle_beta 124.86
_cell_angle_gamma 90.00
loop_
_space_group_symop_operation_xyz
'x,y,z'
'-x,-y,-z'
'-x,y,-z'
'x,-y,z'
'x+1/2,y+1/2,z'
'-x+1/2,-y+1/2,-z'
'-x+1/2,y+1/2,-z'
'x+1/2,-y+1/2,z'
loop_
_atom_site_label
_atom_site_type_symbol
_atom_site_fract_x
_atom_site_fract_y
_atom_site_fract_z
_atom_site_occupancy
Ac1 Ac 0.0094 0.2395 0.2888 1
Ac2 Ac 0.2317 0.0000 0.7127 1
Ac3 Ac 0.2408 0.5000 0.7220 1
Ni1 Ni 0.0000 0.0000 0.5000 1
Ge1 Ge 0.0000 0.5000 0.5000 1
Ge2 Ge 0.2500 0.2500 0.5000 1
Br1 Br 0.0000 0.0000 0.0000 1
Br2 Br 0.0000 0.5000 0.0000 1
Br3 Br 0.2500 0.2500 0.0000 1
# Uncorrected formation energy ... -1.047 eV per atom

***

Table of D(E_F) (states/eV/cell), in record order: 16.5; 4.6; 25.8
Table of size of the total moment (μB/cell), in record order: 7.8; 0.0; 0.0